VASP calculation (PBE) on a geometry-optimized NaNd2Ho structure.

Results
Calculated volume = 134 Å³/f.u.
Formation energy = 194 meV/atom
N(E_F) = 1.127 states/eV/atom
Total moment = 0.00 Bohr magnetons per cell

abc: 3.7604 5.9591 5.9591
angles: 90.00 90.00 90.00
Sites, in units of the cell vectors:
Na  0.5000  0.5000  0.5000
Nd  0.0000  0.0000  0.5000
Nd  0.0000  0.5000  0.0000
Ho  0.5000  0.0000  0.0000

---

VASP calculation (PBE) on a geometry-optimized PmEr2NpAs4 structure.

Results
Calculated volume = 199 Å³/f.u.
Formation energy = -1298 meV/atom
N(E_F) = 1.435 states/eV/atom
Total moment = 3.78 Bohr magnetons per cell

abc: 4.1222 7.1523 7.1383
angles: 109.35 90.00 90.00
Sites, in units of the cell vectors:
Pm  0.5000  0.5000  0.0000
Er  0.5000  0.0000  0.5000
Er  0.0000  0.5000  0.5000
Np  0.0000  0.0000  0.0000
As  0.5000  0.2468  0.2535
As  0.5000  0.7532  0.7465
As  0.0000  0.2423  0.7445
As  0.0000  0.7577  0.2555